# 1
## ZnCdGeO4 (GGA-PBE)

Data for a relaxed ZnCdGeO4 crystal.

## Properties
Crystal system   orthorhombic
Formation energy (no corrections)   -1426 meV/atom

Unit cell a=5.5907 b=5.5907 c=6.3923 alpha=90.00 beta=90.00 gamma=113.81
Last column: nearest neighbours and their distance in Å.
Element x y z (fractional)
Zn  0.1557  0.8443  0.7500  4 O 1.96-2.09
Zn  0.8443  0.1557  0.2500  4 O 1.96-2.09
Cd  0.5000  0.5000  0.0000  6 O 2.33-2.34
Cd  0.5000  0.5000  0.5000  6 O 2.33-2.34
Ge  0.1452  0.8548  0.2500  4 O 1.77-1.81
Ge  0.8548  0.1452  0.7500  4 O 1.77-1.81
O  0.2051  0.2354  0.7500  1 Ge 1.81
O  0.2354  0.2051  0.2500  1 Ge 1.81
O  0.2516  0.7484  0.0217  1 Ge 1.77, 1 Zn 1.96
O  0.2516  0.7484  0.4783  1 Ge 1.77, 1 Zn 1.96
O  0.7484  0.2516  0.5217  1 Ge 1.77, 1 Zn 1.96
O  0.7484  0.2516  0.9783  1 Ge 1.77, 1 Zn 1.96
O  0.7646  0.7949  0.7500  1 Ge 1.81
O  0.7949  0.7646  0.2500  1 Ge 1.81

# 2
## Pm4Ni2H (GGA-PBE)

Data for a relaxed Pm4Ni2H crystal.

## Properties
Crystal system   monoclinic
Energy above the most stable polymorph in this dataset   0 meV per atom
Fermi-level density of states   0.828 states/eV per atom

Unit cell a=7.1616 b=7.1616 c=5.9013 alpha=99.93 beta=99.93 gamma=32.06
Last column: nearest neighbours and their distance in Å.
Element x y z (fractional)
Pm  0.0816  0.0816  0.2772  2 H 2.68, 3 Ni 2.86-3.00
Pm  0.3461  0.3461  0.1877  1 H 2.56, 2 Ni 2.83
Pm  0.6539  0.6539  0.8123  1 H 2.56, 2 Ni 2.83
Pm  0.9184  0.9184  0.7228  2 H 2.68, 3 Ni 2.86-3.00
Ni  0.2666  0.2666  0.6342  2 Ni 2.52
Ni  0.7334  0.7334  0.3658  2 Ni 2.52
H  0.5000  0.5000  0.0000  6 Pm 2.56-2.68

# 3
## K2PaAlO6 (GGA-PBE)

Data for a relaxed K2PaAlO6 crystal.

## Properties
Crystal system   cubic
Formation energy (no corrections)   -2395 meV/atom
Fermi-level density of states   0.338 states/eV per atom

Unit cell a=5.8059 b=5.8059 c=5.8059 alpha=60.00 beta=60.00 gamma=60.00
Last column: nearest neighbours and their distance in Å.
Element x y z (fractional)
K  0.2500  0.2500  0.2500  12 O 2.91
K  0.7500  0.7500  0.7500  12 O 2.91
Pa  0.0000  0.0000  0.0000  6 O 2.17
Al  0.5000  0.5000  0.5000  6 O 1.94
O  0.2643  0.2643  0.7357  1 Al 1.94
O  0.2643  0.7357  0.2643  1 Al 1.94
O  0.2643  0.7357  0.7357  1 Al 1.94
O  0.7357  0.2643  0.2643  1 Al 1.94
O  0.7357  0.2643  0.7357  1 Al 1.94
O  0.7357  0.7357  0.2643  1 Al 1.94

# 4
## ZrScHg6 (GGA-PBE)

Data for a relaxed ZrScHg6 crystal.

## Properties
Crystal system   tetragonal
Formation enthalpy at 0 K   -124 meV/atom
Fermi-level density of states   1.013 states/eV per atom

Unit cell a=4.4028 b=4.4028 c=9.1706 alpha=90.00 beta=90.00 gamma=90.00
Last column: nearest neighbours and their distance in Å.
Element x y z (fractional)
Zr  0.0000  0.0000  0.0000  12 Hg 3.11-3.18
Sc  0.0000  0.0000  0.5000  12 Hg 3.11-3.18
Hg  0.0000  0.5000  0.2498  8 Hg 3.11-3.18, 2 Zr 3.18, 2 Sc 3.18
Hg  0.0000  0.5000  0.7502  8 Hg 3.11-3.18, 2 Zr 3.18, 2 Sc 3.18
Hg  0.5000  0.0000  0.2498  8 Hg 3.11-3.18, 2 Zr 3.18, 2 Sc 3.18
Hg  0.5000  0.0000  0.7502  8 Hg 3.11-3.18, 2 Zr 3.18, 2 Sc 3.18
Hg  0.5000  0.5000  0.0000  4 Zr 3.11, 8 Hg 3.18
Hg  0.5000  0.5000  0.5000  4 Sc 3.11, 8 Hg 3.18

# 5
## YNb2AlSi (GGA-PBE)

Data for a relaxed YNb2AlSi crystal.

## Properties
Crystal system   tetragonal
Formation energy (no corrections)   366 meV/atom
Fermi-level density of states   0.728 states/eV per atom

Unit cell a=4.7320 b=4.7320 c=5.1368 alpha=90.00 beta=90.00 gamma=90.00
Last column: nearest neighbours and their distance in Å.
Element x y z (fractional)
Y  0.0000  0.0000  0.0000  2 Si 2.57
Nb  0.0000  0.5000  0.5000  2 Si 2.37
Nb  0.5000  0.0000  0.5000  2 Si 2.37
Al  0.5000  0.5000  0.0000  4 Y 3.35, 8 Nb 3.49
Si  0.0000  0.0000  0.5000  4 Nb 2.37, 2 Y 2.57

Computed electronic total energy (Ry per atom) in order:
-0.384 -0.379 -0.508 -0.162 -0.499